The following is a DFT calculation (PBE) of crystalline NbIrRu4 at its relaxed geometry.

Summary:
Symmetry: No. 62
Total energy in Ha/atom: -0.340

Geometry as POSCAR:
```
NbIrRu4
1.0
8.2403 0.0000 0.0000
0.0000 4.2576 0.0173
0.0000 -0.0374 10.2124
Nb Ru Ir
4 16 4
Direct
0.4813 0.7499 0.0783
0.9813 0.2501 0.4217
0.5187 0.2501 0.9217
0.0187 0.7499 0.5783
0.8268 0.2499 0.6696
0.3279 0.2498 0.1751
0.6732 0.2499 0.1696
0.8279 0.7502 0.3249
0.8271 0.7500 0.0680
0.8403 0.2501 0.9288
0.1732 0.7501 0.3304
0.1597 0.7499 0.0712
0.6721 0.7502 0.8249
0.3403 0.7499 0.5712
0.6597 0.2501 0.4288
0.1729 0.2500 0.9320
0.3271 0.2500 0.4320
0.1721 0.2498 0.6751
0.3268 0.7501 0.8304
0.6729 0.7500 0.5680
0.5014 0.2497 0.6651
0.9986 0.2497 0.1651
0.0014 0.7503 0.8349
0.4986 0.7503 0.3349
```